This record from Alexandria describes LiAg2Pb at its PBEsol-relaxed geometry. The functional is SCAN.

Unit cell a=3.3339 b=3.3339 c=6.7587 alpha=90.00 beta=90.00 gamma=90.00
Atoms (fractional coordinates):
Li  0.0000  0.0000  0.0000
Ag  0.0000  0.0000  0.5741
Ag  0.5000  0.5000  0.8009
Pb  0.5000  0.5000  0.2842

Values from the calculation:
Volume, Å³/f.u.: 75.1
Formation enthalpy at 0 K, eV/f.u.: -0.381
SG: P4mm, No. 99